No. 1
A plane-wave DFT calculation with meta-GGA SCAN was carried out for a crystal of CaTcIr2 relaxed with PBEsol.

Results
The calculation puts the total energy at -186.09 eV per cell. The polymorph energy (0 for the lowest one) is 0.0 meV/atom.

Unit cell a=9.4173 b=9.4173 c=9.4173 alpha=17.06 beta=17.06 gamma=17.06
With the nearest neighbours (Å) after each atom.
Atoms (fractional coordinates):
1 Ca 0.0000 0.0000 0.0000  6 Ca 2.79, 6 Ir 2.98
2 Tc 0.5000 0.5000 0.5000  6 Ir 2.68, 6 Tc 2.79
3 Ir 0.2434 0.2434 0.2434  3 Tc 2.68, 6 Ir 2.79, 3 Ca 2.98
4 Ir 0.7566 0.7566 0.7566  3 Tc 2.68, 6 Ir 2.79, 3 Ca 2.98

---

No. 2
A plane-wave DFT calculation with meta-GGA SCAN was carried out for a crystal of Ca2TcIr relaxed with PBEsol.

Results
The calculation puts the total energy at -123.75 eV per cell. The polymorph energy (0 for the lowest one) is 32.9 meV/atom.

Unit cell a=2.9611 b=4.5037 c=5.5913 alpha=90.00 beta=90.00 gamma=90.00
With the nearest neighbours (Å) after each atom.
Atoms (fractional coordinates):
1 Ca 0.0000 0.0000 0.2452  4 Ca 2.74-2.96, 4 Ir 3.02, 4 Tc 3.05
2 Ca 0.0000 0.0000 0.7548  4 Ca 2.74-2.96, 4 Ir 3.02, 4 Tc 3.05
3 Tc 0.5000 0.5000 0.5000  2 Ir 2.80, 2 Tc 2.96, 8 Ca 3.05
4 Ir 0.5000 0.5000 0.0000  2 Tc 2.80, 2 Ir 2.96, 8 Ca 3.02

---

No. 3
A plane-wave DFT calculation with meta-GGA SCAN was carried out for a crystal of CaTc2Ir relaxed with PBEsol.

Results
The calculation puts the total energy at -149.54 eV per cell. The polymorph energy (0 for the lowest one) is 18.7 meV/atom.

Unit cell a=2.7082 b=2.7082 c=8.8431 alpha=90.00 beta=90.00 gamma=90.00
With the nearest neighbours (Å) after each atom.
Atoms (fractional coordinates):
1 Ca 0.0000 0.0000 0.0000  4 Ca 2.71
2 Tc 0.5000 0.5000 0.2850  4 Ir 2.70, 4 Tc 2.71
3 Tc 0.5000 0.5000 0.7150  4 Ir 2.70, 4 Tc 2.71
4 Ir 0.0000 0.0000 0.5000  8 Tc 2.70, 4 Ir 2.71

---

No. 4
A plane-wave DFT calculation with meta-GGA SCAN was carried out for a crystal of CaTcIr2 relaxed with PBEsol.

Results
The calculation puts the total energy at -186.08 eV per cell. The polymorph energy (0 for the lowest one) is 2.1 meV/atom.

Unit cell a=4.7439 b=4.7439 c=4.7439 alpha=130.13 beta=127.28 gamma=75.51
With the nearest neighbours (Å) after each atom.
Atoms (fractional coordinates):
1 Ca 0.0000 0.0000 0.0000  8 Ir 2.77-2.79, 4 Tc 2.90
2 Tc 0.5000 0.5000 0.0000  8 Ir 2.71-2.85, 4 Ca 2.90
3 Ir 0.2562 0.7562 0.5000  4 Tc 2.71-2.85, 4 Ca 2.77-2.79, 4 Ir 2.91
4 Ir 0.7438 0.2438 0.5000  4 Tc 2.71-2.85, 4 Ca 2.77-2.79, 4 Ir 2.91

---

No. 5
A plane-wave DFT calculation with meta-GGA SCAN was carried out for a crystal of CaTc2Ir relaxed with PBEsol.

Results
The calculation puts the total energy at -149.61 eV per cell. The polymorph energy (0 for the lowest one) is 0.0 meV/atom.

Unit cell a=5.4105 b=5.4105 c=5.4105 alpha=148.00 beta=128.18 gamma=62.22
With the nearest neighbours (Å) after each atom.
Atoms (fractional coordinates):
1 Ca 0.0000 0.0000 0.0000  8 Tc 2.80-3.11, 4 Ir 2.98-3.13, 2 Ca 2.98
2 Tc 0.5115 0.5115 0.0000  2 Tc 2.43, 2 Ir 2.62
3 Tc 0.7185 0.2185 0.5000  2 Tc 2.43
4 Ir 0.2785 0.7785 0.5000  6 Tc 2.62-2.85

---

No. 6
A plane-wave DFT calculation with meta-GGA SCAN was carried out for a crystal of Ca2TcIr relaxed with PBEsol.

Results
The calculation puts the total energy at -123.72 eV per cell. The polymorph energy (0 for the lowest one) is 38.8 meV/atom.

Unit cell a=5.2890 b=5.2890 c=2.9944 alpha=90.00 beta=90.00 gamma=117.06
With the nearest neighbours (Å) after each atom.
Atoms (fractional coordinates):
1 Ca 0.0000 0.5000 0.0000  4 Ca 2.76-2.99, 4 Tc 3.04, 4 Ir 3.04
2 Ca 0.5000 0.0000 0.0000  4 Ca 2.76-2.99, 4 Tc 3.04, 4 Ir 3.04
3 Tc 0.0000 0.0000 0.5000  2 Ir 2.76, 2 Tc 2.99, 8 Ca 3.04
4 Ir 0.5000 0.5000 0.5000  2 Tc 2.76, 2 Ir 2.99, 8 Ca 3.04

---

No. 7
A plane-wave DFT calculation with meta-GGA SCAN was carried out for a crystal of Ca2TcIr relaxed with PBEsol.

Results
The calculation puts the total energy at -123.44 eV per cell. The polymorph energy (0 for the lowest one) is 108.8 meV/atom.

Unit cell a=4.8961 b=4.8961 c=5.4522 alpha=96.18 beta=96.18 gamma=34.57
With the nearest neighbours (Å) after each atom.
Atoms (fractional coordinates):
1 Ca 0.2447 0.2447 0.2450  3 Tc 2.81-3.00, 3 Ir 2.86-2.91, 6 Ca 2.91-3.13
2 Ca 0.7553 0.7553 0.7550  3 Tc 2.81-3.00, 3 Ir 2.86-2.91, 6 Ca 2.91-3.13
3 Tc 0.0000 0.0000 0.5000  6 Ca 2.81-3.00, 2 Tc 2.91, 4 Ir 3.09
4 Ir 0.5000 0.5000 0.0000  6 Ca 2.86-2.91, 2 Ir 2.91, 4 Tc 3.09

---

No. 8
A plane-wave DFT calculation with meta-GGA SCAN was carried out for a crystal of Ca2TeIr relaxed with PBEsol.

Results
The calculation puts the total energy at -130.41 eV per cell. As for the formation energy without anion corrections: -683 meV/atom.

Unit cell a=3.7657 b=3.7657 c=6.3711 alpha=90.00 beta=90.00 gamma=90.00
With the nearest neighbours (Å) after each atom.
Atoms (fractional coordinates):
1 Ca 0.0000 0.0000 0.2338  1 Ca 2.98, 4 Ir 3.05, 4 Te 3.16
2 Ca 0.0000 0.0000 0.7662  1 Ca 2.98, 4 Ir 3.05, 4 Te 3.16
3 Te 0.5000 0.5000 0.5000  8 Ca 3.16, 2 Ir 3.19
4 Ir 0.5000 0.5000 0.0000  8 Ca 3.05, 2 Te 3.19